[1]
An optimized crystal structure of Cs3Al2Bi3. Source: Alexandria, functional PBE.

Results
Magnetic moment ... 0.000 μB/cell
Symmetry ... Cmcm (63)
Energy relative to the elements ... -1.83 eV per formula unit

a = 5.0453 Å, b = 8.2589 Å, c = 16.9191 Å
α = 90.00°, β = 90.00°, γ = 107.79°
Fractional coordinates of all 16 atoms:
Bi1 0.3421 0.6842 0.5421
Al1 0.2370 0.4739 0.4043
Cs1 0.0682 0.1364 0.8916
Bi2 0.6579 0.3158 0.0421
Bi3 0.6579 0.3158 0.4579
Bi4 0.6827 0.3654 0.7500
Cs2 0.9318 0.8636 0.3916
Al2 0.7630 0.5261 0.9043
Bi5 0.3421 0.6842 0.9579
Cs3 0.9318 0.8636 0.1084
Al3 0.7630 0.5261 0.5957
Al4 0.2370 0.4739 0.0957
Cs4 0.0682 0.1364 0.6085
Bi6 0.3173 0.6346 0.2500
Cs5 0.3681 0.7362 0.7500
Cs6 0.6319 0.2638 0.2500

***

[2]
An optimized crystal structure of YRuO2. Source: Alexandria, functional PBE.

Results
Magnetic moment ... 2.994 μB/cell
Polymorph energy (0 for the lowest one) ... 513 meV per atom
Symmetry ... Fm-3m (225)

a = 4.1164 Å, b = 4.1164 Å, c = 4.1164 Å
α = 60.00°, β = 60.00°, γ = 60.00°
Fractional coordinates of all 4 atoms:
Ru1 0.5000 0.5000 0.5000
Y1 0.0000 0.0000 0.0000
O1 0.2500 0.2500 0.2500
O2 0.7500 0.7500 0.7500

***

[3]
An optimized crystal structure of ZrScCdCo. Source: Alexandria, functional PBE.

Results
Magnetic moment ... 0.000 μB/cell
Polymorph energy (0 for the lowest one) ... 0 meV per atom
Symmetry ... P4mm (99)
Energy relative to the elements ... -1.03 eV per formula unit

a = 3.1742 Å, b = 3.1742 Å, c = 7.4749 Å
α = 90.00°, β = 90.00°, γ = 90.00°
Fractional coordinates of all 4 atoms:
Cd1 0.0000 0.0000 0.0751
Co1 0.0000 0.0000 0.5693
Zr1 0.5000 0.5000 0.7782
Sc1 0.5000 0.5000 0.3621

***

[4]
An optimized crystal structure of AsOs3. Source: Alexandria, functional PBE.

Results
Magnetic moment ... 0.001 μB/cell
Polymorph energy (0 for the lowest one) ... 518 meV per atom
Symmetry ... Fm-3m (225)
Energy relative to the elements ... 3.08 eV per formula unit

a = 4.3872 Å, b = 4.3872 Å, c = 4.3872 Å
α = 60.00°, β = 60.00°, γ = 60.00°
Fractional coordinates of all 4 atoms:
As1 0.0000 0.0000 0.0000
Os1 0.2500 0.2500 0.2500
Os2 0.5000 0.5000 0.5000
Os3 0.7500 0.7500 0.7500

***

[5]
An optimized crystal structure of Ca4CdHg. Source: Alexandria, functional PBE.

Results
Magnetic moment ... 0.000 μB/cell
Polymorph energy (0 for the lowest one) ... 0 meV per atom
Symmetry ... P4/mmm (123)
Energy relative to the elements ... -1.92 eV per formula unit

a = 3.8521 Å, b = 3.8521 Å, c = 13.0640 Å
α = 90.00°, β = 90.00°, γ = 90.00°
Fractional coordinates of all 6 atoms:
Ca1 0.5000 0.5000 0.1433
Ca2 0.0000 0.0000 0.3623
Hg1 0.5000 0.5000 0.5000
Ca3 0.5000 0.5000 0.8567
Ca4 0.0000 0.0000 0.6377
Cd1 0.0000 0.0000 0.0000

***

[6]
An optimized crystal structure of TcGe. Source: Alexandria, functional PBE.

Results
Magnetic moment ... 4.914 μB/cell
Polymorph energy (0 for the lowest one) ... 1167 meV per atom
Symmetry ... Pm-3n (223)
Energy relative to the elements ... 1.97 eV per formula unit

a = 6.8442 Å, b = 6.8442 Å, c = 6.8442 Å
α = 90.00°, β = 90.00°, γ = 90.00°
Fractional coordinates of all 12 atoms:
Ge1 0.7500 0.0000 0.5000
Ge2 0.5000 0.2500 0.0000
Ge3 0.2500 0.0000 0.5000
Tc1 0.5000 0.0000 0.2500
Ge4 0.0000 0.5000 0.2500
Ge5 0.5000 0.7500 0.0000
Tc2 0.7500 0.5000 0.0000
Tc3 0.2500 0.5000 0.0000
Tc4 0.5000 0.0000 0.7500
Tc5 0.0000 0.2500 0.5000
Ge6 0.0000 0.5000 0.7500
Tc6 0.0000 0.7500 0.5000

***

[7]
An optimized crystal structure of Ta2WAu. Source: Alexandria, functional PBE.

Results
Magnetic moment ... 0.000 μB/cell
Polymorph energy (0 for the lowest one) ... 150 meV per atom
Symmetry ... Fm-3m (225)
Energy relative to the elements ... 0.42 eV per formula unit

a = 4.6310 Å, b = 4.6310 Å, c = 4.6310 Å
α = 60.00°, β = 60.00°, γ = 60.00°
Fractional coordinates of all 4 atoms:
Ta1 0.2500 0.2500 0.2500
Ta2 0.7500 0.7500 0.7500
W1 0.0000 0.0000 0.0000
Au1 0.5000 0.5000 0.5000

***

[8]
An optimized crystal structure of NaBe2Tc. Source: Alexandria, functional PBE.

Results
Magnetic moment ... 1.975 μB/cell
Polymorph energy (0 for the lowest one) ... 192 meV per atom
Symmetry ... I-42d (122)
Energy relative to the elements ... 3.62 eV per formula unit

a = 6.4723 Å, b = 6.4723 Å, c = 5.3413 Å
α = 52.71°, β = 52.71°, γ = 90.00°
Fractional coordinates of all 8 atoms:
Be1 0.0925 0.6250 0.2500
Tc1 0.7500 0.2500 0.5000
Be2 0.3750 0.3425 0.7500
Be3 0.6575 0.1250 0.2500
Na1 0.2500 0.7500 0.5000
Na2 0.5000 0.5000 0.0000
Be4 0.8750 0.9075 0.7500
Tc2 0.0000 0.0000 0.0000

***

[9]
An optimized crystal structure of KCa3Ga. Source: Alexandria, functional PBE.

Results
Magnetic moment ... 0.000 μB/cell
Polymorph energy (0 for the lowest one) ... 0 meV per atom
Symmetry ... Pm-3m (221)
Energy relative to the elements ... -0.36 eV per formula unit

a = 5.9866 Å, b = 5.9866 Å, c = 5.9866 Å
α = 90.00°, β = 90.00°, γ = 90.00°
Fractional coordinates of all 5 atoms:
Ca1 0.0000 0.0000 0.5000
Ga1 0.0000 0.0000 0.0000
K1 0.5000 0.5000 0.5000
Ca2 0.5000 0.0000 0.0000
Ca3 0.0000 0.5000 0.0000

***

[10]
An optimized crystal structure of Sm2Dy3ErSe6. Source: Alexandria, functional PBE.

Results
Magnetic moment ... 0.000 μB/cell
Symmetry ... C2/m (12)
E ... -5.8220 eV per atom

a = 4.0827 Å, b = 8.2513 Å, c = 9.1636 Å
α = 103.00°, β = 102.87°, γ = 90.00°
Fractional coordinates of all 12 atoms:
Sm1 0.1686 0.3365 0.3372
Se1 0.0027 0.7544 0.0054
Se2 0.6636 0.5884 0.3272
Se3 0.6640 0.0759 0.3280
Se4 0.3364 0.4116 0.6728
Se5 0.3360 0.9241 0.6720
Dy1 0.8299 0.1668 0.6598
Se6 0.9973 0.2456 0.9946
Dy2 0.1701 0.8332 0.3402
Er1 0.5000 0.0000 0.0000
Dy3 0.5000 0.5000 0.0000
Sm2 0.8314 0.6635 0.6628

***

[11]
An optimized crystal structure of CeGd2I. Source: Alexandria, functional PBE.

Results
Magnetic moment ... 13.456 μB/cell
Polymorph energy (0 for the lowest one) ... 0 meV per atom
Symmetry ... R-3m (166)

a = 3.7392 Å, b = 3.7392 Å, c = 10.7362 Å
α = 79.97°, β = 79.97°, γ = 60.00°
Fractional coordinates of all 4 atoms:
I1 0.0000 0.0000 0.0000
Gd1 0.2540 0.2540 0.2379
Gd2 0.7460 0.7460 0.7621
Ce1 0.5000 0.5000 0.5000

***

[12]
An optimized crystal structure of YNiMo2. Source: Alexandria, functional PBE.

Results
Magnetic moment ... 0.000 μB/cell
Polymorph energy (0 for the lowest one) ... 218 meV per atom
Symmetry ... I4/mmm (139)
Energy relative to the elements ... 1.34 eV per formula unit

a = 5.5342 Å, b = 5.5342 Å, c = 5.5342 Å
α = 139.60°, β = 139.60°, γ = 58.47°
Fractional coordinates of all 4 atoms:
Mo1 0.0000 0.0000 0.0000
Mo2 0.5000 0.5000 0.0000
Ni1 0.2500 0.7500 0.5000
Y1 0.7500 0.2500 0.5000

***

[13]
An optimized crystal structure of SrTeRu3. Source: Alexandria, functional PBE.

Results
Magnetic moment ... 5.859 μB/cell
Polymorph energy (0 for the lowest one) ... 1550 meV per atom
Symmetry ... Pm-3m (221)

a = 5.0072 Å, b = 5.0072 Å, c = 5.0072 Å
α = 90.00°, β = 90.00°, γ = 90.00°
Fractional coordinates of all 5 atoms:
Te1 0.5000 0.5000 0.5000
Ru1 0.0000 0.5000 0.0000
Ru2 0.0000 0.0000 0.5000
Sr1 0.0000 0.0000 0.0000
Ru3 0.5000 0.0000 0.0000

***

[14]
An optimized crystal structure of Sc4SiGeO. Source: Alexandria, functional PBE.

Results
Magnetic moment ... 2.139 μB/cell
Symmetry ... Cmcm (63)
E ... -7.1097 eV per atom

a = 5.8937 Å, b = 5.8903 Å, c = 7.9064 Å
α = 90.00°, β = 111.88°, γ = 90.00°
Fractional coordinates of all 14 atoms:
Sc1 0.4237 0.7500 0.8474
Sc2 0.5763 0.2500 0.1526
Sc3 0.9214 0.2500 0.8428
Sc4 0.0786 0.7500 0.1572
Sc5 0.0000 0.5000 0.5000
Sc6 0.0000 0.0000 0.5000
Si1 0.3872 0.2500 0.7744
O1 0.7508 0.2500 0.5015
Ge1 0.8893 0.7500 0.7785
Si2 0.6128 0.7500 0.2256
Sc7 0.5000 0.5000 0.5000
Sc8 0.5000 0.0000 0.5000
O2 0.2492 0.7500 0.4985
Ge2 0.1107 0.2500 0.2215

***

[15]
An optimized crystal structure of K7Rb3As4. Source: Alexandria, functional PBE.

Results
Magnetic moment ... 2.213 μB/cell
Symmetry ... C2/m (12)
Energy relative to the elements ... -3.46 eV per formula unit

a = 5.8474 Å, b = 9.6147 Å, c = 11.0532 Å
α = 81.64°, β = 74.66°, γ = 72.30°
Fractional coordinates of all 14 atoms:
As1 0.2617 0.6625 0.8141
Rb1 0.3131 0.1248 0.2490
K1 0.0000 0.0000 0.0000
K2 0.5404 0.6977 0.2215
K3 0.1772 0.5299 0.1158
K4 0.3129 0.8431 0.5312
K5 0.6871 0.1569 0.4688
As2 0.7383 0.3375 0.1859
K6 0.8228 0.4701 0.8842
Rb2 0.0000 0.5000 0.5000
As3 0.0810 0.1566 0.6813
As4 0.9190 0.8434 0.3187
Rb3 0.6869 0.8752 0.7510
K7 0.4596 0.3023 0.7785

***

[16]
An optimized crystal structure of Dy2Tm2Ga4Cu. Source: Alexandria, functional PBE.

Results
Magnetic moment ... 0.000 μB/cell
Symmetry ... I4/mmm (139)
Energy relative to the elements ... -2.78 eV per formula unit

a = 6.4765 Å, b = 6.4765 Å, c = 6.4765 Å
α = 97.47°, β = 115.78°, γ = 115.78°
Fractional coordinates of all 9 atoms:
Tm1 0.5000 0.2500 0.7500
Cu1 0.0000 0.0000 0.0000
Ga1 0.4844 0.2422 0.2422
Ga2 0.0000 0.7578 0.2422
Dy1 0.0000 0.3084 0.3084
Dy2 0.0000 0.6916 0.6916
Ga3 0.0000 0.2422 0.7578
Tm2 0.5000 0.7500 0.2500
Ga4 0.5156 0.7578 0.7578

***

[17]
An optimized crystal structure of YTlV2Cd. Source: Alexandria, functional PBE.

Results
Magnetic moment ... 6.257 μB/cell
Symmetry ... P4/mmm (123)
Energy relative to the elements ... 5.59 eV per formula unit

a = 5.0818 Å, b = 5.5512 Å, c = 5.0818 Å
α = 90.00°, β = 90.00°, γ = 90.00°
Fractional coordinates of all 5 atoms:
Cd1 0.0000 0.0000 0.0000
V1 0.0000 0.0000 0.5000
V2 0.5000 0.0000 0.0000
Y1 0.0000 0.5000 0.0000
Tl1 0.5000 0.5000 0.5000

***

[18]
An optimized crystal structure of Al4SiNi2. Source: Alexandria, functional PBE.

Results
Magnetic moment ... 0.000 μB/cell
Polymorph energy (0 for the lowest one) ... 197 meV per atom
Symmetry ... P3m1 (156)

a = 4.0389 Å, b = 4.0389 Å, c = 7.7162 Å
α = 90.00°, β = 90.00°, γ = 120.00°
Fractional coordinates of all 7 atoms:
Al1 0.6667 0.3333 0.3173
Al2 0.6667 0.3333 0.6796
Al3 0.0000 0.0000 0.1293
Ni1 0.3333 0.6667 0.2542
Al4 0.0000 0.0000 0.4832
Ni2 0.6667 0.3333 0.9918
Si1 0.0000 0.0000 0.8126

***

[19]
An optimized crystal structure of Si2TcPb. Source: Alexandria, functional PBE.

Results
Magnetic moment ... 0.000 μB/cell
Symmetry ... R-3m (166)
E ... -6.0539 eV per atom

a = 8.9549 Å, b = 8.9549 Å, c = 8.9549 Å
α = 20.28°, β = 20.28°, γ = 20.28°
Fractional coordinates of all 4 atoms:
Pb1 0.7500 0.7500 0.7500
Tc1 0.2500 0.2500 0.2500
Si1 0.5192 0.5192 0.5192
Si2 0.9808 0.9808 0.9808

***

[20]
An optimized crystal structure of Dy2HoRh4. Source: Alexandria, functional PBE.

Results
Magnetic moment ... 0.000 μB/cell
Symmetry ... I4/mmm (139)
Energy relative to the elements ... -3.81 eV per formula unit

a = 4.8433 Å, b = 4.8433 Å, c = 7.0247 Å
α = 110.17°, β = 110.17°, γ = 90.00°
Fractional coordinates of all 7 atoms:
Rh1 0.6211 0.1211 0.2421
Dy1 0.7225 0.7225 0.4450
Rh2 0.1211 0.6211 0.2421
Rh3 0.3789 0.8789 0.7579
Ho1 0.0000 0.0000 0.0000
Dy2 0.2775 0.2775 0.5550
Rh4 0.8789 0.3789 0.7579

***

[21]
An optimized crystal structure of TaTe2. Source: Alexandria, functional PBE.

Results
Magnetic moment ... 0.000 μB/cell
Symmetry ... I4/mcm (140)
E ... -6.0284 eV per atom

a = 5.7136 Å, b = 5.7136 Å, c = 5.7136 Å
α = 106.78°, β = 106.78°, γ = 115.00°
Fractional coordinates of all 6 atoms:
Te1 0.8345 0.6655 0.5000
Te2 0.6655 0.1655 0.8310
Ta1 0.2500 0.2500 0.0000
Te3 0.1655 0.3345 0.5000
Te4 0.3345 0.8345 0.1690
Ta2 0.7500 0.7500 0.0000

***

[22]
An optimized crystal structure of AcEuTmMg. Source: Alexandria, functional PBE.

Results
Magnetic moment ... 7.235 μB/cell
Symmetry ... F-43m (216)
Energy relative to the elements ... 0.24 eV per formula unit

a = 5.8136 Å, b = 5.8136 Å, c = 5.8136 Å
α = 60.00°, β = 60.00°, γ = 60.00°
Fractional coordinates of all 4 atoms:
Ac1 0.2500 0.2500 0.2500
Eu1 0.7500 0.7500 0.7500
Tm1 0.5000 0.5000 0.5000
Mg1 0.0000 0.0000 0.0000

***

[23]
An optimized crystal structure of NaGe2Sb. Source: Alexandria, functional PBE.

Results
Magnetic moment ... 0.000 μB/cell
Symmetry ... I-42d (122)
E ... -3.5924 eV per atom

a = 8.0666 Å, b = 8.0666 Å, c = 6.4882 Å
α = 51.56°, β = 51.56°, γ = 90.00°
Fractional coordinates of all 8 atoms:
Ge1 0.6584 0.1250 0.2500
Sb1 0.7500 0.2500 0.5000
Ge2 0.3750 0.3416 0.7500
Sb2 0.0000 0.0000 0.0000
Na1 0.2500 0.7500 0.5000
Na2 0.5000 0.5000 0.0000
Ge3 0.0916 0.6250 0.2500
Ge4 0.8750 0.9084 0.7500

***

[24]
An optimized crystal structure of KMg2As. Source: Alexandria, functional PBE.

Results
Magnetic moment ... 0.000 μB/cell
Symmetry ... Pm (6)
Energy relative to the elements ... -0.66 eV per formula unit

a = 4.5910 Å, b = 3.3613 Å, c = 7.4953 Å
α = 77.38°, β = 90.00°, γ = 90.00°
Fractional coordinates of all 4 atoms:
Mg1 0.0000 0.0042 0.1068
Mg2 0.5000 0.4386 0.2416
As1 0.0000 0.3465 0.4363
K1 0.5000 0.7107 0.7153

***

[25]
An optimized crystal structure of CoBPd2Br. Source: Alexandria, functional PBE.

Results
Magnetic moment ... 2.024 μB/cell
Symmetry ... P4/mmm (123)
E ... -3.4815 eV per atom

a = 4.7642 Å, b = 4.7642 Å, c = 4.2623 Å
α = 90.00°, β = 90.00°, γ = 90.00°
Fractional coordinates of all 5 atoms:
Br1 0.0000 0.0000 0.0000
Pd1 0.0000 0.5000 0.0000
B1 0.0000 0.0000 0.5000
Co1 0.5000 0.5000 0.5000
Pd2 0.5000 0.0000 0.0000

***

[26]
An optimized crystal structure of K3Pm2SbTe6. Source: Alexandria, functional PBE.

Results
Magnetic moment ... 0.000 μB/cell
Symmetry ... C2/m (12)
E ... -4.0957 eV per atom

a = 7.9374 Å, b = 7.9374 Å, c = 8.6462 Å
α = 98.81°, β = 98.81°, γ = 120.00°
Fractional coordinates of all 12 atoms:
Te1 0.6034 0.9302 0.7903
Pm1 0.3335 0.6665 0.0000
K1 0.5000 0.5000 0.5000
K2 0.8326 0.1674 0.5000
Te2 0.0698 0.3966 0.2097
Te3 0.9302 0.6034 0.7903
Sb1 0.0000 0.0000 0.0000
Te4 0.2565 0.2565 0.7904
Te5 0.7435 0.7435 0.2096
K3 0.1674 0.8326 0.5000
Te6 0.3966 0.0698 0.2097
Pm2 0.6665 0.3335 0.0000